Record 1
PaReO2 (PBE, optimized geometry); E = -9.320 eV per atom; SG = No. 166
1.0
-1.054 -1.983 -2.009
1.821 -2.126 -1.117
-1.629 -5.800 4.320
O Re Pa
2 1 1
Cartesian
0.251 -5.323 -1.657
-1.113 -4.587 2.851
0.000 0.000 0.000
-0.431 -4.955 0.597

***

Record 2
Mg6PtAu (PBE, optimized geometry); ΔH_f (0 K) = -421.5 meV/atom; SG = No. 166
1.0
4.485 0.000 1.373
2.033 3.998 1.373
-0.048 -0.030 8.171
Mg Pt Au
6 1 1
Cartesian
5.672 3.479 5.510
4.863 2.983 8.154
0.798 0.489 5.407
1.607 0.986 2.764
4.057 2.489 2.772
2.412 1.480 8.145
3.235 1.984 5.459
0.000 0.000 0.000

***

Record 3
Ac2GdAg (PBE, optimized geometry); ΔH_f (0 K) = -92.7 meV/atom; SG = No. 123
1.0
3.917 0.000 0.000
0.000 3.917 0.000
0.000 0.000 9.166
Ac Ag Gd
2 1 1
Cartesian
0.000 0.000 7.168
0.000 0.000 1.997
1.958 1.958 0.000
1.958 1.958 4.583

***

Record 4
RbCd3Rh (PBE, optimized geometry); ΔH_f (0 K) = 476.2 meV/atom; SG = No. 160
1.0
3.420 0.000 6.815
-1.710 2.962 6.815
-1.710 -2.962 6.815
Cd Rb Rh
3 1 1
Cartesian
-0.825 1.429 5.996
1.650 0.000 5.996
-0.825 -1.429 5.996
0.000 0.000 2.637
0.000 0.000 17.710

***

Record 5
In2BiIr2 (PBE, optimized geometry); ΔH_f (0 K) = 145.0 meV/atom; SG = No. 139
1.0
4.098 0.000 0.000
0.000 4.098 0.000
2.049 2.049 6.331
Bi In Ir
1 2 2
Cartesian
0.000 0.000 0.000
4.098 2.049 3.166
2.049 4.098 3.166
2.049 2.049 1.305
4.098 4.098 5.026

***

Record 6
Er2InPd (PBE, optimized geometry); ΔH_f (0 K) = -618.5 meV/atom; SG = No. 225
1.0
5.114 0.000 0.000
2.557 4.429 0.000
2.557 1.476 4.176
In Pd Er
1 1 2
Cartesian
5.114 2.953 2.088
0.000 0.000 0.000
7.672 4.429 3.132
2.557 1.476 1.044

***

Record 7
Mg2ReIr (PBE, optimized geometry); ΔH_f (0 K) = 100.3 meV/atom; SG = No. 123
1.0
2.744 0.000 0.000
0.000 2.744 0.000
0.000 0.000 8.421
Ir Re Mg
1 1 2
Cartesian
1.372 1.372 6.316
1.372 1.372 2.105
0.000 0.000 8.278
0.000 0.000 4.354

***

Record 8
LaSmTm4 (PBE, optimized geometry); ΔH_f (0 K) = 205.7 meV/atom; SG = No. 47
1.0
-1.647 1.955 2.221
-4.752 -0.141 -3.401
-3.173 -8.085 4.767
Sm Tm La
1 4 1
Cartesian
-3.207 0.887 -0.592
-6.223 -3.722 3.812
-5.011 -0.634 1.992
-1.410 -0.519 1.979
-3.424 -5.652 5.006
-3.241 -2.108 4.603

***

Record 9
AcMgGaAg (PBE, optimized geometry); ΔH_f (0 K) = -317.2 meV/atom; SG = No. 160
1.0
-0.224 -2.953 3.765
-2.898 -0.681 -3.754
5.587 -1.650 -0.962
Ag Mg Ac Ga
1 1 1 1
Cartesian
-1.386 -3.096 0.536
4.846 -2.146 -1.395
1.969 -2.822 0.951
2.314 -3.131 -2.318

***

Record 10
NaNpIn2F8 (PBE, optimized geometry); E = -5.563 eV per atom; SG = No. 47
1.0
4.016 -0.033 -0.002
0.049 5.968 -0.006
0.005 0.010 8.245
F In Na Np
8 2 1 1
Cartesian
2.052 4.728 8.239
4.055 4.581 1.781
4.058 4.590 6.448
2.023 1.532 4.120
0.012 1.355 1.789
0.015 1.364 6.455
2.018 1.217 -0.002
2.047 4.412 4.116
2.036 2.975 5.944
2.034 2.970 2.293
0.003 0.005 4.123
0.000 0.000 0.000

***

Record 11
BeSe2S (PBE, optimized geometry); E = -3.572 eV per atom; SG = No. 122
1.0
6.148 0.000 0.000
0.000 6.148 0.000
3.074 3.074 4.272
Be Se S
2 4 2
Cartesian
3.074 6.148 2.136
3.074 3.074 0.000
1.881 4.611 1.068
7.685 7.342 3.204
4.611 4.955 3.204
4.268 1.537 1.068
6.148 3.074 2.136
0.000 0.000 0.000

***

Record 12
Li3Cu13 (PBE, optimized geometry); ΔH_f (0 K) = -21.4 meV/atom; SG = No. 38
1.0
-1.660 4.899 0.234
-4.601 -1.451 -1.882
-2.385 -1.128 6.702
Cu Li
13 3
Cartesian
-4.913 0.883 4.188
-1.586 0.884 -0.416
-5.886 2.018 2.115
-4.667 2.580 -1.227
-5.060 -0.431 1.997
-3.731 1.442 0.868
-6.022 0.707 -0.077
-2.762 0.297 2.938
-4.097 -1.567 4.072
-7.207 0.146 3.253
-3.867 0.134 -1.354
-2.912 -1.006 0.742
-3.589 2.746 3.056
-6.381 -2.287 3.135
-5.198 -1.727 -0.190
-2.401 3.298 -0.299

***

Record 13
Bi6Pd12Au (PBE, optimized geometry); ΔH_f (0 K) = -212.0 meV/atom; SG = No. 148
1.0
7.588 -0.547 -0.656
-1.691 7.417 -0.656
-1.691 -1.971 7.180
Pd Bi Au
12 6 1
Cartesian
5.716 -0.036 1.314
5.107 4.615 0.081
-0.402 2.236 3.818
3.379 0.112 2.883
0.826 4.787 2.986
0.417 5.847 0.200
4.607 2.663 2.051
2.272 3.767 0.625
3.788 -0.948 5.669
-0.902 0.284 5.788
-1.511 4.935 4.555
1.933 1.132 5.244
0.686 -0.395 3.225
4.700 1.837 4.684
1.103 3.729 5.682
-0.495 3.062 1.185
3.519 5.294 2.644
3.102 1.170 0.187
0.000 0.000 0.000

***

Record 14
NaPrPuO6 (PBE, optimized geometry); E = -7.924 eV per atom; SG = No. 163
1.0
5.698 0.000 0.000
-2.849 4.934 0.000
0.000 0.000 9.934
O Pr Na Pu
12 2 2 2
Cartesian
-1.630 3.351 8.569
4.478 1.583 1.365
-0.868 4.670 6.332
1.219 1.583 3.602
-0.761 1.847 6.332
1.981 0.264 1.365
2.087 3.087 1.365
3.717 0.264 3.602
3.610 3.087 3.602
0.868 4.670 8.569
1.630 3.351 6.332
0.761 1.847 8.569
0.000 0.000 4.967
0.000 0.000 0.000
0.000 3.289 2.484
2.849 1.645 7.451
2.849 1.645 2.484
0.000 3.289 7.451

***

Record 15
Na4Ac3BiO8 (PBE, optimized geometry); E = -6.049 eV per atom; SG = No. 166
1.0
7.483 0.000 0.000
0.000 7.159 -0.227
-3.741 -3.740 5.298
O Na Ac Bi
8 4 3 1
Cartesian
-1.912 1.496 5.058
1.912 1.496 5.058
3.741 0.012 2.719
0.000 0.060 2.695
1.830 1.923 0.012
5.653 1.923 0.012
3.741 3.359 2.376
0.000 3.407 2.352
0.000 0.000 0.000
1.871 -1.870 2.649
-1.871 -1.870 2.649
3.741 0.000 0.000
-1.871 1.709 2.535
3.741 3.580 -0.114
1.871 1.709 2.535
0.000 3.580 -0.114

***

Record 16
MoI (PBE, optimized geometry); E = -5.637 eV per atom; SG = No. 176
1.0
11.682 0.000 0.000
-5.841 10.117 0.000
0.000 0.000 3.570
I Mo
6 6
Cartesian
-2.109 7.883 2.677
0.068 4.349 2.677
3.801 2.115 0.892
7.949 2.234 0.892
2.040 8.001 2.677
5.773 5.767 0.892
9.018 4.292 2.677
5.049 0.161 2.677
-3.177 5.824 0.892
2.385 4.453 0.892
3.456 5.663 2.677
0.792 9.956 0.892

***

Record 17
TlGe2As (PBE, optimized geometry); ΔH_f (0 K) = 376.3 meV/atom; SG = No. 225
1.0
-1.908 0.390 4.632
-3.471 3.493 1.002
-4.756 -1.363 0.881
As Ge Tl
1 2 1
Cartesian
0.000 0.000 0.000
-2.534 0.630 1.629
-7.601 1.890 4.886
-5.067 1.260 3.257

***

Record 18
K2PaF7 (PBE, optimized geometry); E = -5.989 eV per atom; SG = No. 15
1.0
-2.110 -1.108 -7.393
3.036 -4.975 -5.135
-4.092 -6.816 -2.348
F K Pa
14 4 2
Cartesian
-1.841 -8.729 -7.689
-1.325 -4.171 -7.187
2.014 -4.420 -4.643
1.719 -5.291 -7.202
-3.100 -5.060 -3.997
-3.786 -5.007 -7.464
-3.212 -6.531 -9.642
-0.066 -7.840 -10.879
-4.885 -7.608 -7.674
-5.180 -8.479 -10.233
0.143 -2.551 -2.298
0.620 -7.892 -7.412
0.046 -6.368 -5.234
-3.309 -10.348 -12.578
-0.671 -3.710 -4.630
-2.496 -9.189 -10.246
-2.814 -7.044 -5.847
-0.352 -5.855 -9.030
-0.169 -9.985 -6.956
-2.997 -2.914 -7.921

***

Record 19
Tl5AsS4Cl2 (PBE, optimized geometry); E = -3.570 eV per atom; SG = No. 38
1.0
-3.145 6.332 3.774
-0.347 -6.156 1.530
8.124 0.864 5.321
S Tl Cl As
4 5 2 1
Cartesian
-0.326 -3.675 1.094
4.952 4.050 6.327
-1.392 0.279 2.081
-0.153 3.507 2.983
-0.588 1.073 5.004
3.642 1.523 7.776
2.651 3.273 4.354
1.438 -1.387 2.311
5.668 -0.937 5.082
2.580 0.245 4.953
0.863 3.187 7.097
-1.169 2.354 1.403

***

Record 20
PrTiCuPt2 (PBE, optimized geometry); ΔH_f (0 K) = -744.7 meV/atom; SG = No. 119
1.0
-0.694 -3.756 1.104
3.590 -0.164 1.701
-3.858 3.957 3.878
Pr Pt Ti Cu
1 2 1 1
Cartesian
0.000 0.000 0.000
-1.871 1.550 4.099
0.909 -1.513 2.583
0.590 0.916 3.490
-1.552 -0.880 3.192

***

Record 21
ScFe2P (PBE, optimized geometry); ΔH_f (0 K) = -258.3 meV/atom; SG = No. 10
1.0
3.919 0.000 0.000
0.000 3.201 0.008
0.000 0.416 4.718
Fe P Sc
2 1 1
Cartesian
0.000 1.907 1.178
0.000 1.710 3.548
1.959 1.601 0.004
1.959 0.208 2.359

***

Record 22
Rb2ThRe2N6 (PBE, optimized geometry); E = -8.186 eV per atom; SG = No. 12
1.0
6.374 0.000 0.000
-3.187 5.543 -0.280
0.000 -3.495 6.630
N Re Th Rb
6 2 1 2
Cartesian
1.682 4.604 1.488
-1.682 4.604 1.488
0.000 1.664 1.860
1.505 -2.557 4.862
4.869 -2.557 4.862
3.187 0.383 4.490
3.187 2.100 4.994
0.000 -0.053 1.356
3.187 -1.748 3.315
0.000 0.242 5.330
3.187 1.805 1.020

***

Record 23
NiRu2 (PBE, optimized geometry); ΔH_f (0 K) = 69.0 meV/atom; SG = No. 63
1.0
2.688 0.000 0.000
1.344 6.846 0.000
0.000 0.000 4.257
Ru Ni
4 2
Cartesian
1.344 3.818 2.129
2.688 1.474 2.129
1.344 2.267 0.000
2.688 4.612 0.000
2.688 6.107 2.129
1.344 6.824 0.000

***

Record 24
CePmInAu (PBE, optimized geometry); ΔH_f (0 K) = -472.4 meV/atom; SG = No. 216
1.0
-0.743 2.323 -4.777
1.788 -2.395 -4.454
-3.481 -2.107 -3.494
Ce Pm In Au
1 1 1 1
Cartesian
-0.609 -0.545 -3.181
-1.827 -1.635 -9.544
-1.218 -1.090 -6.362
0.000 0.000 0.000